Computed, not measured: Sn2Ge2Pt5 after structural relaxation at the GGA-PBE level of DFT.

Geometry as CIF:
```
data_Sn2Ge2Pt5
_chemical_formula_sum 'Sn4 Ge4 Pt10'
_space_group_name_H-M_alt 'C 1 2/m 1'
_space_group_IT_number 12
_space_group_name_Hall '-C 2y'
_cell_length_a 12.8887
_cell_length_b 4.2188
_cell_length_c 7.7762
_cell_angle_alpha 90.00
_cell_angle_beta 123.66
_cell_angle_gamma 90.00
loop_
_atom_site_label
_atom_site_fract_x
_atom_site_fract_y
_atom_site_fract_z
_atom_site_occupancy
Sn1 0.1553 0.0000 0.0116 1
Ge1 0.1617 0.5000 0.5048 1
Pt1 0.0000 0.5000 0.0000 1
Pt2 0.0896 0.5000 0.7400 1
Pt3 0.1011 0.0000 0.3079 1
```

Computed properties:
Uncorrected energy   -102.1 eV for the cell shown

---

Computed, not measured: Cr2In2P after structural relaxation at the GGA-PBE level of DFT.

Geometry as CIF:
```
data_Cr2In2P
_chemical_formula_sum 'Cr4 In4 P2'
_space_group_name_H-M_alt 'P 4/m b m'
_space_group_IT_number 127
_space_group_name_Hall '-P 4 2ab'
_cell_length_a 6.1407
_cell_length_b 6.1407
_cell_length_c 4.4996
_cell_angle_alpha 90.00
_cell_angle_beta 90.00
_cell_angle_gamma 90.00
loop_
_atom_site_label
_atom_site_fract_x
_atom_site_fract_y
_atom_site_fract_z
_atom_site_occupancy
Cr1 0.1597 0.3403 0.0000 1
In1 0.1623 0.6623 0.5000 1
P1 0.0000 0.0000 0.0000 1
```

Computed properties:
Uncorrected energy   -59.2 eV for the cell shown

---

Computed, not measured: K3La3ZrSe8 after structural relaxation at the GGA-PBE level of DFT.

Geometry as CIF:
```
data_K3La3ZrSe8
_chemical_formula_sum 'K9 La9 Zr3 Se24'
_space_group_name_H-M_alt 'R -3 m'
_space_group_IT_number 166
_space_group_name_Hall '-R 3 2"'
_cell_length_a 8.6409
_cell_length_b 8.6409
_cell_length_c 23.4082
_cell_angle_alpha 90.00
_cell_angle_beta 90.00
_cell_angle_gamma 120.00
loop_
_atom_site_label
_atom_site_fract_x
_atom_site_fract_y
_atom_site_fract_z
_atom_site_occupancy
K1 0.0000 0.5000 0.0000 1
La1 0.0000 0.5000 0.5000 1
Zr1 0.0000 0.0000 0.5000 1
Se1 0.0000 0.0000 0.2379 1
Se2 0.0276 0.5138 0.2326 1
```

Computed properties:
ΔE_f (raw)   -1.722 eV per atom

---

Computed, not measured: BaScCl2 after structural relaxation at the GGA-PBE level of DFT.

Geometry as CIF:
```
data_BaScCl2
_chemical_formula_sum 'Ba1 Sc1 Cl2'
_space_group_name_H-M_alt 'P 4 m m'
_space_group_IT_number 99
_space_group_name_Hall 'P 4 -2'
_cell_length_a 3.8131
_cell_length_b 3.8131
_cell_length_c 7.5799
_cell_angle_alpha 90.00
_cell_angle_beta 90.00
_cell_angle_gamma 90.00
loop_
_atom_site_label
_atom_site_fract_x
_atom_site_fract_y
_atom_site_fract_z
_atom_site_occupancy
Ba1 0.0000 0.0000 0.0000 1
Sc1 0.5000 0.5000 0.6051 1
Cl1 0.0000 0.0000 0.5632 1
Cl2 0.5000 0.5000 0.2538 1
```

Computed properties:
ΔE_f (raw)   -1.354 eV per atom

---

Computed, not measured: Zn2GaBi after structural relaxation at the GGA-PBE level of DFT.

Geometry as CIF:
```
data_Zn2GaBi
_chemical_formula_sum 'Zn2 Ga1 Bi1'
_space_group_name_H-M_alt 'P 4/m m m'
_space_group_IT_number 123
_space_group_name_Hall '-P 4 2'
_cell_length_a 4.4993
_cell_length_b 4.4993
_cell_length_c 4.2317
_cell_angle_alpha 90.00
_cell_angle_beta 90.00
_cell_angle_gamma 90.00
loop_
_atom_site_label
_atom_site_fract_x
_atom_site_fract_y
_atom_site_fract_z
_atom_site_occupancy
Zn1 0.0000 0.5000 0.0000 1
Ga1 0.0000 0.0000 0.5000 1
Bi1 0.5000 0.5000 0.5000 1
```

Computed properties:
Uncorrected energy   -8.8 eV for the cell shown

---

Computed, not measured: TbEr2Hf after structural relaxation at the GGA-PBE level of DFT.

Geometry as CIF:
```
data_TbEr2Hf
_chemical_formula_sum 'Tb1 Er2 Hf1'
_space_group_name_H-M_alt 'P 4/m m m'
_space_group_IT_number 123
_space_group_name_Hall '-P 4 2'
_cell_length_a 3.9546
_cell_length_b 3.9546
_cell_length_c 7.3128
_cell_angle_alpha 90.00
_cell_angle_beta 90.00
_cell_angle_gamma 90.00
loop_
_atom_site_label
_atom_site_fract_x
_atom_site_fract_y
_atom_site_fract_z
_atom_site_occupancy
Tb1 0.0000 0.0000 0.0000 1
Er1 0.5000 0.5000 0.2790 1
Hf1 0.0000 0.0000 0.5000 1
```

Computed properties:
Uncorrected energy   -22.8 eV for the cell shown

---

Number 1: V 19.6 Å³ per atom. Number 2: V 17.0 Å³ per atom. Number 3: V 33.6 Å³ per atom. Number 4: V 27.6 Å³ per atom. Number 5: V 21.4 Å³ per atom. Number 6: V 28.6 Å³ per atom.